14
Lattice="7.884 -2.157 0.000 7.884 2.157 0.000 -5.268 0.000 7.657" Properties=species:S:1:pos:R:3 comment="Dy3Zn8Au3 PBE-GGA relaxed" vol_a3_per_fu=260.4 dos_at_fermi_per_ev_fu=6.46 polymorph_energy_mev_per_atom=0.0 magnetic_moment_mub_per_cell=0.00 space_group=C2/m pbc="T T T"
Dy 0.000 0.000 0.000
Dy 3.095 0.000 2.321
Dy 7.405 0.000 5.336
Zn -0.046 0.000 3.170
Zn -2.306 0.000 6.486
Zn 1.652 0.000 5.266
Zn 4.229 0.000 5.264
Zn 6.271 0.000 2.393
Zn 8.848 0.000 2.391
Zn 12.806 0.000 1.171
Zn 10.546 0.000 4.487
Au -2.634 0.000 3.828
Au 0.271 0.000 7.472
Au 10.229 0.000 0.185


12
Lattice="2.314 -6.916 0.000 2.314 6.916 0.000 0.000 0.000 6.582" Properties=species:S:1:pos:R:3 comment="DyZn5Au6 PBE-GGA relaxed" vol_a3_per_fu=210.7 dos_at_fermi_per_ev_fu=2.50 magnetic_moment_mub_per_cell=0.00 e_tot_ev_per_atom=-2.87 space_group=Cmmm pbc="T T T"
Dy 0.000 0.000 0.000
Zn 0.000 0.000 3.291
Zn 2.314 2.236 0.000
Zn 2.314 2.231 3.291
Zn 2.314 -2.231 3.291
Zn 2.314 -2.236 0.000
Au 2.314 4.463 1.699
Au 2.314 4.463 4.883
Au 2.314 0.000 1.794
Au 2.314 0.000 4.788
Au 2.314 -4.463 1.699
Au 2.314 -4.463 4.883


8
Lattice="3.596 0.000 0.000 0.000 3.596 0.000 0.000 0.000 14.295" Properties=species:S:1:pos:R:3 comment="Dy4ZnAu3 PBE-GGA relaxed" vol_a3_per_fu=184.9 dos_at_fermi_per_ev_fu=4.98 polymorph_energy_mev_per_atom=0.0 magnetic_moment_mub_per_cell=0.00 space_group=P4/mmm pbc="T T T"
Dy 0.000 0.000 1.751
Dy 0.000 0.000 5.338
Dy 0.000 0.000 8.957
Dy 0.000 0.000 12.544
Zn 1.798 1.798 0.000
Au 1.798 1.798 3.498
Au 1.798 1.798 7.148
Au 1.798 1.798 10.797


16
Lattice="3.573 0.000 0.000 0.000 7.893 0.000 0.000 0.000 10.916" Properties=species:S:1:pos:R:3 comment="DyZn2Au5 PBE-GGA relaxed" vol_a3_per_fu=153.9 dos_at_fermi_per_ev_fu=2.69 magnetic_moment_mub_per_cell=0.00 e_tot_ev_per_atom=-3.29 space_group=Immm pbc="T T T"
Dy 0.000 0.000 0.000
Dy 1.786 3.946 5.458
Zn 0.000 3.946 2.646
Zn 0.000 3.946 8.271
Zn 1.786 0.000 2.813
Zn 1.786 0.000 8.104
Au 0.000 1.808 4.020
Au 0.000 1.808 6.897
Au 0.000 3.946 0.000
Au 0.000 6.084 4.020
Au 0.000 6.084 6.897
Au 1.786 0.000 5.458
Au 1.786 2.138 1.438
Au 1.786 2.138 9.478
Au 1.786 5.755 1.438
Au 1.786 5.755 9.478


12
Lattice="4.544 0.000 0.000 0.000 5.266 0.000 0.000 0.000 9.422" Properties=species:S:1:pos:R:3 comment="Dy2Zn5Au5 PBE-GGA relaxed" vol_a3_per_fu=225.5 dos_at_fermi_per_ev_fu=6.22 magnetic_moment_mub_per_cell=0.00 e_tot_ev_per_atom=-3.14 space_group=Pmmm pbc="T T T"
Dy 0.000 0.000 0.000
Dy 0.000 2.633 4.711
Zn 2.272 0.000 4.711
Zn 2.272 1.314 2.385
Zn 2.272 1.314 7.038
Zn 2.272 3.952 2.385
Zn 2.272 3.952 7.038
Au 0.000 0.000 3.152
Au 0.000 0.000 6.271
Au 0.000 2.633 1.694
Au 0.000 2.633 7.728
Au 2.272 2.633 0.000


20
Lattice="7.424 0.000 0.000 0.000 4.277 0.000 0.000 0.000 12.173" Properties=species:S:1:pos:R:3 comment="DyZn2Au2 PBE-GGA relaxed" vol_a3_per_fu=96.6 dos_at_fermi_per_ev_fu=2.54 polymorph_energy_mev_per_atom=0.0 magnetic_moment_mub_per_cell=0.00 space_group=Pnma pbc="T T T"
Dy 0.975 1.069 2.282
Dy 2.737 3.208 8.369
Dy 4.687 1.069 3.804
Dy 6.449 3.208 9.891
Zn 0.269 1.069 5.353
Zn 1.527 1.069 10.637
Zn 2.185 3.208 4.550
Zn 3.443 3.208 11.439
Zn 3.981 1.069 0.734
Zn 5.239 1.069 7.623
Zn 5.897 3.208 1.536
Zn 7.155 3.208 6.821
Au 0.533 1.069 8.177
Au 0.957 3.208 0.021
Au 2.755 1.069 6.108
Au 3.179 3.208 2.091
Au 4.245 1.069 10.082
Au 4.669 3.208 6.065
Au 6.467 1.069 12.152
Au 6.891 3.208 3.996


14
Lattice="7.928 -2.212 0.000 7.928 2.212 0.000 -5.124 0.000 7.574" Properties=species:S:1:pos:R:3 comment="Dy3Zn7Au4 PBE-GGA relaxed" vol_a3_per_fu=265.6 dos_at_fermi_per_ev_fu=6.82 magnetic_moment_mub_per_cell=0.00 e_tot_ev_per_atom=-3.07 space_group=C2/m pbc="T T T"
Dy 0.000 0.000 0.000
Dy 3.170 0.000 2.210
Dy 7.561 0.000 5.364
Zn -2.562 0.000 3.787
Zn 0.003 0.000 3.234
Zn 0.239 0.000 7.444
Zn 4.448 0.000 5.117
Zn 6.284 0.000 2.457
Zn 10.493 0.000 0.130
Zn 10.729 0.000 4.340
Au -2.323 0.000 6.389
Au 1.809 0.000 5.389
Au 8.922 0.000 2.185
Au 13.054 0.000 1.185


14
Lattice="6.992 0.000 0.000 0.000 6.992 0.000 0.000 0.000 5.331" Properties=species:S:1:pos:R:3 comment="DyZn2Au4 PBE-GGA relaxed" vol_a3_per_fu=130.3 dos_at_fermi_per_ev_fu=2.66 magnetic_moment_mub_per_cell=0.00 e_tot_ev_per_atom=-3.40 space_group=I4/mmm pbc="T T T"
Dy 0.000 0.000 0.000
Dy 3.496 3.496 2.666
Zn 0.000 3.496 1.333
Zn 0.000 3.496 3.998
Zn 3.496 0.000 1.333
Zn 3.496 0.000 3.998
Au 1.403 1.403 2.666
Au 1.403 5.589 2.666
Au 2.093 2.093 0.000
Au 2.093 4.899 0.000
Au 4.899 2.093 0.000
Au 4.899 4.899 0.000
Au 5.589 1.403 2.666
Au 5.589 5.589 2.666


20
Lattice="7.641 -5.169 0.000 7.641 5.169 0.000 -1.541 0.000 6.765" Properties=species:S:1:pos:R:3 comment="Dy3ZnAu PBE-GGA relaxed" vol_a3_per_fu=133.6 dos_at_fermi_per_ev_fu=5.28 polymorph_energy_mev_per_atom=116.1 magnetic_moment_mub_per_cell=0.00 space_group=C2/c pbc="T T T"
Dy 2.542 1.320 0.306
Dy 5.645 3.217 3.453
Dy 7.324 3.217 6.694
Dy 1.771 -1.320 3.688
Dy 4.348 0.179 6.280
Dy 5.119 -0.179 2.897
Dy 8.621 0.179 3.867
Dy 9.392 -0.179 0.485
Dy 11.969 1.320 3.077
Dy 6.416 -3.217 0.070
Dy 8.094 -3.217 3.312
Dy 11.198 -1.320 6.459
Zn 3.102 1.679 4.301
Zn 3.873 -1.679 0.919
Zn 9.867 1.679 5.846
Zn 10.637 -1.679 2.464
Au 7.255 4.894 1.691
Au 7.255 1.567 1.691
Au 6.485 -1.567 5.074
Au 6.485 -4.894 5.074


12
Lattice="2.684 1.550 8.816 -2.684 1.550 8.816 0.000 -3.099 8.816" Properties=species:S:1:pos:R:3 comment="Dy3Zn8Au PBE-GGA relaxed" vol_a3_per_fu=220.0 dos_at_fermi_per_ev_fu=5.27 magnetic_moment_mub_per_cell=0.00 e_tot_ev_per_atom=-2.61 space_group=R3m pbc="T T T"
Dy 0.000 0.000 0.000
Dy 0.000 0.000 3.348
Dy 0.000 0.000 16.257
Zn -1.350 -0.779 10.412
Zn 0.000 -1.545 6.001
Zn -1.338 0.773 6.001
Zn 0.000 0.000 8.201
Zn 1.338 0.773 6.001
Zn 1.350 -0.780 10.412
Zn 0.000 1.559 10.412
Zn 0.000 0.000 21.433
Au 0.000 0.000 13.085


14
Lattice="-2.178 4.465 6.576 2.178 -4.465 6.576 2.178 4.465 -6.576" Properties=species:S:1:pos:R:3 comment="Dy3Zn9Au2 PBE-GGA relaxed" vol_a3_per_fu=255.8 dos_at_fermi_per_ev_fu=6.89 magnetic_moment_mub_per_cell=0.00 e_tot_ev_per_atom=-2.68 space_group=Immm pbc="T T T"
Dy 0.000 0.000 0.000
Dy 0.000 0.000 3.974
Dy 0.000 0.000 9.178
Zn 2.178 -1.233 2.222
Zn 2.178 -1.972 4.784
Zn 2.178 1.233 2.222
Zn 0.000 2.493 1.792
Zn 0.000 4.465 0.000
Zn 2.178 1.972 4.784
Zn 0.000 3.232 4.354
Zn 0.000 6.437 1.792
Zn 0.000 5.698 4.354
Au 2.178 2.685 0.000
Au 0.000 1.780 6.576


11
Lattice="-2.145 2.145 12.617 2.145 -2.145 12.617 2.145 2.145 -12.617" Properties=species:S:1:pos:R:3 comment="Dy3Zn2Au6 PBE-GGA relaxed" vol_a3_per_fu=232.1 dos_at_fermi_per_ev_fu=6.27 magnetic_moment_mub_per_cell=0.00 e_tot_ev_per_atom=-3.87 space_group=I4/mmm pbc="T T T"
Dy 0.000 0.000 0.000
Dy 0.000 0.000 5.021
Dy 0.000 0.000 20.212
Zn 0.000 0.000 11.434
Zn 0.000 0.000 13.799
Au 2.145 0.000 2.638
Au 0.000 0.000 7.936
Au 2.145 0.000 9.979
Au 0.000 2.145 2.638
Au 0.000 0.000 17.297
Au 0.000 2.145 9.979